Arrangement i

{"formula": "Fe2CoO4", "functional": "PBE+U", "state": "relaxed", "sg": "C2 (5)", "lattice": [[5.944, 0.013, 0.000], [2.959, 5.155, 0.000], [0.000, 0.000, 14.481]], "species": ["Fe", "Fe", "O", "O", "Fe", "Fe", "O", "Fe", "Fe", "Fe", "O", "Co", "O", "Co", "Co", "O", "Fe", "O", "O", "O", "Co", "Fe", "O", "O", "Fe", "O", "O", "O", "Fe", "O", "O", "O", "O", "O", "O", "O", "Co", "Fe", "Co", "O", "O", "O"], "fractional_positions": [[0.835, 0.504, 0.544], [0.671, 0.830, 0.999], [0.336, 0.975, 0.411], [0.642, 0.856, 0.744], [0.334, 0.503, 0.667], [0.996, 0.668, 0.334], [0.323, 0.516, 0.407], [0.171, 0.827, 0.877], [0.332, 0.004, 0.666], [0.496, 0.165, 0.456], [0.821, 0.991, 0.921], [0.833, 0.501, 0.167], [0.025, 0.664, 0.589], [0.995, 0.166, 0.334], [0.672, 0.328, 0.000], [0.144, 0.358, 0.256], [0.831, 0.507, 0.789], [0.846, 0.978, 0.412], [0.483, 0.179, 0.590], [0.846, 0.506, 0.923], [0.499, 0.167, 0.833], [0.170, 0.329, 0.001], [0.523, 0.668, 0.077], [0.182, 0.329, 0.740], [0.497, 0.666, 0.333], [0.022, 0.154, 0.588], [0.821, 0.517, 0.410], [0.172, 0.817, 0.257], [0.493, 0.169, 0.211], [0.183, 0.828, 0.743], [0.494, 0.154, 0.077], [0.332, 0.477, 0.923], [0.994, 0.655, 0.074], [0.345, 0.006, 0.926], [0.645, 0.342, 0.746], [0.484, 0.677, 0.593], [0.834, 0.005, 0.666], [0.173, 0.829, 0.123], [0.167, 0.833, 0.500], [0.658, 0.355, 0.254], [0.009, 0.179, 0.079], [0.671, 0.818, 0.260]]}

---

Arrangement ii

{"formula": "Fe2CoO4", "functional": "PBE+U", "state": "relaxed", "sg": "Fd-3m (227)", "lattice": [[5.992, 0.000, 0.000], [2.996, 5.189, 0.000], [2.996, 1.730, 4.892]], "species": ["O", "O", "Co", "O", "O", "Fe", "O", "Fe", "O", "Co", "O", "O", "Fe", "Fe"], "fractional_positions": [[0.132, 0.132, 0.132], [0.618, 0.618, 0.147], [0.000, 0.000, 0.000], [0.132, 0.132, 0.603], [0.147, 0.618, 0.618], [0.375, 0.375, 0.375], [0.618, 0.147, 0.618], [0.375, 0.375, 0.875], [0.618, 0.618, 0.618], [0.750, 0.750, 0.750], [0.603, 0.132, 0.132], [0.132, 0.603, 0.132], [0.875, 0.375, 0.375], [0.375, 0.875, 0.375]]}

---

Winner for stability: arrangement i

---

Arrangement i

{"formula": "FeCo2O4", "functional": "PBE+U", "state": "relaxed", "sg": "I4/mmm (139)", "lattice": [[-2.288, -2.166, 2.438], [3.132, -2.289, 0.906], [1.563, 0.836, 5.464]], "species": ["O", "O", "Fe", "O", "Co", "O", "Co"], "fractional_positions": [[0.800, 0.800, 0.401], [0.200, 0.200, 0.599], [0.000, 0.000, 0.000], [0.000, 0.500, 0.000], [0.373, 0.373, 0.253], [0.500, 0.000, 0.000], [0.627, 0.627, 0.747]]}

---

Arrangement ii

{"formula": "FeCo2O4", "functional": "PBE+U", "state": "relaxed", "sg": "Cc (9)", "lattice": [[5.405, 0.021, -1.399], [-3.080, 4.442, -1.399], [0.011, 0.021, 6.099]], "species": ["O", "Fe", "O", "Co", "O", "Co", "Co", "O", "Co", "Fe", "O", "O", "O", "O"], "fractional_positions": [[0.802, 0.336, 0.334], [0.251, 0.484, 0.495], [0.696, 0.673, 0.633], [0.958, 0.770, 0.469], [0.673, 0.696, 0.133], [0.578, 0.231, 0.540], [0.231, 0.578, 0.040], [0.798, 0.266, 0.870], [0.770, 0.958, 0.969], [0.484, 0.251, 0.995], [0.200, 0.218, 0.162], [0.218, 0.200, 0.662], [0.336, 0.802, 0.834], [0.266, 0.798, 0.370]]}

---

Arrangement iii

{"formula": "FeCo2O4", "functional": "PBE+U", "state": "relaxed", "sg": "Imma (74)", "lattice": [[6.000, 0.054, 0.022], [-0.088, 6.000, -0.022], [-2.933, -3.050, 4.255]], "species": ["Co", "O", "Co", "O", "Co", "O", "Fe", "O", "O", "O", "Co", "O", "O", "Fe"], "fractional_positions": [[0.125, 0.375, 0.750], [0.739, 0.758, 0.519], [0.500, 0.500, 0.500], [0.278, 0.758, 0.520], [0.500, 0.000, 0.000], [0.738, 0.758, 0.980], [0.000, 0.000, 0.000], [0.262, 0.242, 0.020], [0.261, 0.781, 0.019], [0.739, 0.219, 0.981], [0.875, 0.625, 0.250], [0.722, 0.242, 0.480], [0.261, 0.242, 0.481], [0.500, 0.000, 0.500]]}

---

Winner for stability: arrangement iii